Record 1
PuScU2As5 | PBE | optimized geometry

Structure (POSCAR):
```
PuScU2As5
1.0
4.676 0.000 0.000
0.000 4.676 0.000
0.000 0.000 10.533
Pu Sc U As
1 1 2 5
Cartesian
0.000 0.000 0.000 Pu
0.000 0.000 5.267 Sc
2.338 2.338 3.247 U
2.338 2.338 7.286 U
0.000 0.000 2.665 As
0.000 0.000 7.869 As
0.000 2.338 5.267 As
2.338 0.000 5.267 As
2.338 2.338 0.000 As
```

Calculated values
The calculation puts the formation energy at -0.31 eV/atom. Its space-group type is P4/mmm (123).


Record 2
PuSc2UAs4 | PBE | optimized geometry

Structure (POSCAR):
```
PuSc2UAs4
1.0
6.873 0.000 0.000
0.000 3.987 0.000
-2.319 0.000 6.562
Pu Sc U As
1 2 1 4
Cartesian
0.000 0.000 0.000 Pu
2.277 0.000 3.281 Sc
3.436 1.993 0.000 Sc
-1.159 1.993 3.281 U
1.211 1.993 1.691 As
0.071 0.000 4.933 As
4.483 0.000 1.629 As
3.343 1.993 4.871 As
```

Calculated values
The calculation puts the formation energy at -1.11 eV/atom. Its space-group type is P2/m (10).


Record 3
PuScU2As4 | PBE | optimized geometry

Structure (POSCAR):
```
PuScU2As4
1.0
6.972 0.000 0.000
0.000 4.032 0.000
-2.324 0.000 6.698
Pu Sc U As
1 1 2 4
Cartesian
0.000 0.000 0.000 Pu
3.486 2.016 0.000 Sc
-1.162 2.016 3.349 U
2.324 0.000 3.349 U
1.216 2.016 1.654 As
0.049 0.000 5.072 As
4.600 0.000 1.625 As
3.433 2.016 5.043 As
```

Calculated values
The calculation puts the formation energy at -0.96 eV/atom. Its space-group type is P2/m (10).


Record 4
Y2PuScAs4 | PBE | optimized geometry

Structure (POSCAR):
```
Y2PuScAs4
1.0
7.027 0.000 0.000
0.000 4.080 0.000
-2.344 0.000 6.641
Y Pu Sc As
2 1 1 4
Cartesian
0.000 0.000 0.000 Y
3.514 2.040 0.000 Y
-1.172 2.040 3.321 Pu
2.342 0.000 3.321 Sc
0.040 0.000 4.934 As
1.210 2.040 1.734 As
3.473 2.040 4.907 As
4.643 0.000 1.707 As
```

Calculated values
The calculation puts the formation energy at -1.35 eV/atom. Its space-group type is P2/m (10).